A plane-wave DFT calculation with GGA-PBE was carried out for a relaxed structure of AcCePb2.

## Properties
ΔE_f: -0.414 eV per atom
mass density: 9.9 g/cm3
DFT total energy: -4.7788 eV per atom

Geometry as CIF:
```
data_AcCePb2
_chemical_formula_sum 'Ac1 Ce1 Pb2'
_cell_length_a 5.3052
_cell_length_b 5.3052
_cell_length_c 4.6527
_cell_angle_alpha 90.00
_cell_angle_beta 90.00
_cell_angle_gamma 90.00
_symmetry_space_group_name_H-M 'P 4/m m m'
_symmetry_Int_Tables_number 123
_symmetry_space_group_name_Hall '-P 4 2'
loop_
_atom_site_label
_atom_site_fract_x
_atom_site_fract_y
_atom_site_fract_z
_atom_site_occupancy
Ac1 0.0000 0.0000 0.0000 1
Ce1 0.5000 0.5000 0.0000 1
Pb1 0.0000 0.5000 0.5000 1
```

=====

A plane-wave DFT calculation with GGA-PBE was carried out for a relaxed structure of Ti2NbBiH.

## Properties
mass density: 8.6 g/cm3
DFT total energy: -6.8021 eV per atom

Geometry as CIF:
```
data_Ti2NbBiH
_chemical_formula_sum 'Ti2 Nb1 Bi1 H1'
_cell_length_a 4.3694
_cell_length_b 4.3694
_cell_length_c 4.0093
_cell_angle_alpha 90.00
_cell_angle_beta 90.00
_cell_angle_gamma 90.00
_symmetry_space_group_name_H-M 'P 4/m m m'
_symmetry_Int_Tables_number 123
_symmetry_space_group_name_Hall '-P 4 2'
loop_
_atom_site_label
_atom_site_fract_x
_atom_site_fract_y
_atom_site_fract_z
_atom_site_occupancy
Ti1 0.0000 0.5000 0.0000 1
Nb1 0.0000 0.0000 0.5000 1
Bi1 0.5000 0.5000 0.5000 1
H1 0.0000 0.0000 0.0000 1
```

=====

A plane-wave DFT calculation with GGA-PBE was carried out for a relaxed structure of ScPd4Pb.

## Properties
ΔE_f: -0.431 eV per atom
energy above the most stable polymorph in this dataset: 109 meV/atom
mass density: 10.3 g/cm3
DFT total energy: -5.5659 eV per atom

Geometry as CIF:
```
data_ScPd4Pb
_chemical_formula_sum 'Sc4 Pd16 Pb4'
_cell_length_a 7.5863
_cell_length_b 7.5863
_cell_length_c 7.5863
_cell_angle_alpha 90.00
_cell_angle_beta 90.00
_cell_angle_gamma 90.00
_symmetry_space_group_name_H-M 'F -4 3 m'
_symmetry_Int_Tables_number 216
_symmetry_space_group_name_Hall 'F -4 2 3'
loop_
_atom_site_label
_atom_site_fract_x
_atom_site_fract_y
_atom_site_fract_z
_atom_site_occupancy
Sc1 0.0000 0.0000 0.0000 1
Pd1 0.1253 0.1253 0.3747 1
Pb1 0.2500 0.2500 0.7500 1
```

=====

A plane-wave DFT calculation with GGA-PBE was carried out for a relaxed structure of Mg2CuIrSe.

## Properties
mass density: 5.3 g/cm3
DFT total energy: -3.6576 eV per atom
formation energy without anion corrections: 1.34 eV/f.u.

Geometry as CIF:
```
data_Mg2CuIrSe
_chemical_formula_sum 'Mg2 Cu1 Ir1 Se1'
_cell_length_a 5.1229
_cell_length_b 5.1229
_cell_length_c 4.5603
_cell_angle_alpha 90.00
_cell_angle_beta 90.00
_cell_angle_gamma 90.00
_symmetry_space_group_name_H-M 'P 4/m m m'
_symmetry_Int_Tables_number 123
_symmetry_space_group_name_Hall '-P 4 2'
loop_
_atom_site_label
_atom_site_fract_x
_atom_site_fract_y
_atom_site_fract_z
_atom_site_occupancy
Mg1 0.0000 0.5000 0.0000 1
Cu1 0.0000 0.0000 0.5000 1
Ir1 0.5000 0.5000 0.0000 1
Se1 0.5000 0.5000 0.5000 1
```

=====

A plane-wave DFT calculation with GGA-PBE was carried out for a relaxed structure of Nd3ErPb4.

## Properties
ΔE_f: -0.379 eV per atom
mass density: 9.3 g/cm3
DFT total energy: -4.5914 eV per atom

Geometry as CIF:
```
data_Nd3ErPb4
_chemical_formula_sum 'Nd6 Er2 Pb8'
_cell_length_a 3.7048
_cell_length_b 7.3270
_cell_length_c 18.8806
_cell_angle_alpha 90.00
_cell_angle_beta 90.00
_cell_angle_gamma 90.00
_symmetry_space_group_name_H-M 'I m m m'
_symmetry_Int_Tables_number 71
_symmetry_space_group_name_Hall '-I 2 2'
loop_
_atom_site_label
_atom_site_fract_x
_atom_site_fract_y
_atom_site_fract_z
_atom_site_occupancy
Nd1 0.0000 0.0000 0.0000 1
Nd2 0.0000 0.5000 0.2214 1
Er1 0.0000 0.0000 0.5000 1
Pb1 0.0000 0.2776 0.3742 1
```

=====

A plane-wave DFT calculation with GGA-PBE was carried out for a relaxed structure of ZnInSN2.

## Properties
energy above the most stable polymorph in this dataset: 196 meV/atom
mass density: 4.1 g/cm3
DFT total energy: -3.5544 eV per atom
formation energy without anion corrections: 7.02 eV/f.u.

Geometry as CIF:
```
data_ZnInSN2
_chemical_formula_sum 'Zn1 In1 S1 N2'
_cell_length_a 4.1974
_cell_length_b 4.1974
_cell_length_c 5.5689
_cell_angle_alpha 90.00
_cell_angle_beta 90.00
_cell_angle_gamma 90.00
_symmetry_space_group_name_H-M 'P 4/m m m'
_symmetry_Int_Tables_number 123
_symmetry_space_group_name_Hall '-P 4 2'
loop_
_atom_site_label
_atom_site_fract_x
_atom_site_fract_y
_atom_site_fract_z
_atom_site_occupancy
Zn1 0.0000 0.0000 0.0000 1
In1 0.5000 0.5000 0.5000 1
S1 0.5000 0.5000 0.0000 1
N1 0.0000 0.5000 0.5000 1
```

=====

Q: Among the records above, which one has the highest mass density?
A: ScPd4Pb